1.
Computed, not measured: Sm3Co2Ge4 at its PBEsol-relaxed geometry at the SCAN level of DFT.

Cell lengths 4.1228, 5.7747, 8.0234 Å; angles 106.52, 90.00, 110.91 degrees
Atoms (fractional coordinates):
Sm: 0.3811 0.7623 0.3087
Sm: 0.0000 0.0000 0.0000
Sm: 0.6189 0.2377 0.6913
Co: 0.6957 0.3914 0.3724
Co: 0.3043 0.6086 0.6276
Ge: 0.2884 0.5769 0.9177
Ge: 0.8957 0.7914 0.6021
Ge: 0.7116 0.4231 0.0823
Ge: 0.1043 0.2086 0.3979

Properties
space group	C2/m, No. 12
energy of formation	-0.734	eV per atom
DFT total energy	-27.876	eV/atom

2.
Computed, not measured: LaZr2Te at its PBEsol-relaxed geometry at the SCAN level of DFT.

Cell lengths 3.3433, 3.3433, 9.5824 Å; angles 90.00, 90.00, 110.75 degrees
Atoms (fractional coordinates):
La: 0.5000 0.5000 0.5000
Te: 0.5000 0.5000 0.0000
Zr: 0.0000 0.0000 0.2209
Zr: 0.0000 0.0000 0.7791

Properties
space group	Cmmm, No. 65
DFT total energy	-35.556	eV/atom
formation energy without anion corrections	-0.118	eV per atom

3.
Computed, not measured: Li2SiNiO4 at its PBEsol-relaxed geometry at the SCAN level of DFT.

Cell lengths 4.8388, 5.4585, 6.0906 Å; angles 90.00, 89.55, 90.00 degrees
Atoms (fractional coordinates):
Li: 0.4982 0.8272 0.7489
Li: 0.9982 0.1728 0.2489
Li: 0.9956 0.6520 0.5014
Li: 0.4956 0.3480 0.0014
Si: 0.0066 0.6744 0.0012
Si: 0.5066 0.3256 0.5012
Ni: 0.9905 0.1615 0.7669
Ni: 0.4905 0.8385 0.2669
O: 0.8992 0.3887 0.9988
O: 0.3992 0.6113 0.4988
O: 0.9042 0.8135 0.7760
O: 0.4042 0.1865 0.2760
O: 0.3943 0.1798 0.7225
O: 0.8943 0.8202 0.2225
O: 0.8467 0.3218 0.5081
O: 0.3467 0.6782 0.0081

Properties
space group	Pc, No. 7
DFT total energy	-9.340	eV/atom
distance to the lowest polymorph of the same formula	14	meV/atom
formation energy without anion corrections	-2.354	eV per atom

4.
Computed, not measured: AgSF2 at its PBEsol-relaxed geometry at the SCAN level of DFT.

Cell lengths 4.1455, 4.1455, 4.1455 Å; angles 60.00, 60.00, 60.00 degrees
Atoms (fractional coordinates):
S: 0.0000 0.0000 0.0000
Ag: 0.5000 0.5000 0.5000
F: 0.2500 0.2500 0.2500
F: 0.7500 0.7500 0.7500

Properties
space group	Fm-3m, No. 225
DFT total energy	-12.248	eV/atom
formation energy without anion corrections	-0.230	eV per atom

5.
Computed, not measured: Ga3ReHg at its PBEsol-relaxed geometry at the SCAN level of DFT.

Cell lengths 4.8309, 4.8309, 4.8309 Å; angles 90.00, 90.00, 90.00 degrees
Atoms (fractional coordinates):
Re: 0.0000 0.0000 0.0000
Hg: 0.5000 0.5000 0.5000
Ga: 0.0000 0.5000 0.0000
Ga: 0.0000 0.0000 0.5000
Ga: 0.5000 0.0000 0.0000

Properties
space group	Pm-3m, No. 221
energy of formation	0.280	eV per atom
DFT total energy	-37.381	eV/atom

6.
Computed, not measured: CdHgAu2 at its PBEsol-relaxed geometry at the SCAN level of DFT.

Cell lengths 3.2881, 4.7819, 5.3756 Å; angles 110.81, 107.81, 90.00 degrees
Atoms (fractional coordinates):
Au: 0.0101 0.9472 0.0202
Au: 0.7401 0.3024 0.4803
Hg: 0.2613 0.8101 0.5226
Cd: 0.4884 0.4402 0.9769

Properties
space group	Cm, No. 8
energy of formation	-0.053	eV per atom
DFT total energy	-59.277	eV/atom

7.
Computed, not measured: MnSnPb3 at its PBEsol-relaxed geometry at the SCAN level of DFT.

Cell lengths 5.1574, 5.1574, 5.1574 Å; angles 90.00, 90.00, 90.00 degrees
Atoms (fractional coordinates):
Pb: 0.0000 0.5000 0.0000
Pb: 0.0000 0.0000 0.5000
Pb: 0.5000 0.0000 0.0000
Mn: 0.0000 0.0000 0.0000
Sn: 0.5000 0.5000 0.5000

Properties
space group	Pm-3m, No. 221
energy of formation	0.263	eV per atom
DFT total energy	-56.041	eV/atom

8.
Computed, not measured: Ba3Y2O6 at its PBEsol-relaxed geometry at the SCAN level of DFT.

Cell lengths 4.3469, 4.3469, 11.1526 Å; angles 101.24, 101.24, 90.00 degrees
Atoms (fractional coordinates):
Ba: 0.3178 0.3178 0.6356
Ba: 0.5000 0.5000 0.0000
Ba: 0.6822 0.6822 0.3644
Y: 0.1011 0.1011 0.2023
Y: 0.8989 0.8989 0.7977
O: 0.9175 0.4175 0.8351
O: 0.5825 0.0825 0.1649
O: 0.1994 0.1994 0.3987
O: 0.8006 0.8006 0.6013
O: 0.0825 0.5825 0.1649
O: 0.4175 0.9175 0.8351

Properties
space group	I4/mmm, No. 139
DFT total energy	-22.497	eV/atom
distance to the lowest polymorph of the same formula	0	meV/atom
formation energy without anion corrections	-3.250	eV per atom

9.
Computed, not measured: RhSe2SBr at its PBEsol-relaxed geometry at the SCAN level of DFT.

Cell lengths 4.7510, 4.7510, 4.8995 Å; angles 90.00, 90.00, 90.00 degrees
Atoms (fractional coordinates):
S: 0.5000 0.5000 0.5000
Rh: 0.0000 0.0000 0.0000
Se: 0.0000 0.5000 0.0000
Se: 0.5000 0.0000 0.0000
Br: 0.0000 0.0000 0.5000

Properties
space group	P4/mmm, No. 123
DFT total energy	-19.965	eV/atom
formation energy without anion corrections	0.638	eV per atom

10.
Computed, not measured: AgAu5 at its PBEsol-relaxed geometry at the SCAN level of DFT.

Cell lengths 2.8588, 2.8588, 12.3553 Å; angles 90.00, 90.00, 90.00 degrees
Atoms (fractional coordinates):
Au: 0.0000 0.0000 0.6651
Au: 0.5000 0.5000 0.8329
Au: 0.0000 0.0000 0.0000
Au: 0.5000 0.5000 0.1671
Au: 0.0000 0.0000 0.3349
Ag: 0.5000 0.5000 0.5000

Properties
space group	P4/mmm, No. 123
energy of formation	-0.029	eV per atom
DFT total energy	-62.888	eV/atom
distance to the lowest polymorph of the same formula	12	meV/atom

11.
Computed, not measured: FeTcBr2 at its PBEsol-relaxed geometry at the SCAN level of DFT.

Cell lengths 3.0594, 4.1622, 5.8383 Å; angles 90.00, 90.00, 90.00 degrees
Atoms (fractional coordinates):
Br: 0.0000 0.0000 0.0000
Br: 0.5000 0.0000 0.5000
Fe: 0.5000 0.5000 0.0000
Tc: 0.0000 0.5000 0.5000

Properties
space group	Pmmm, No. 47
DFT total energy	-22.256	eV/atom
distance to the lowest polymorph of the same formula	383	meV/atom
formation energy without anion corrections	0.771	eV per atom

12.
Computed, not measured: Cr2TcRu at its PBEsol-relaxed geometry at the SCAN level of DFT.

Cell lengths 2.9419, 4.2394, 4.8083 Å; angles 116.16, 107.81, 90.00 degrees
Atoms (fractional coordinates):
Cr: 0.7382 0.7382 0.4764
Cr: 0.2618 0.2618 0.5236
Ru: 0.5000 0.0000 0.0000
Tc: 0.0000 0.5000 0.0000

Properties
space group	Immm, No. 71
energy of formation	0.184	eV per atom
DFT total energy	-26.480	eV/atom